# CrCoPO2 | Alexandria via LeMat-Bulk | PBE with a Hubbard U | optimized geometry
data_CrCoPO2
_space_group_name_H-M_alt 'P 4/m m m'
_space_group_IT_number 123
_space_group_name_Hall '-P 4 2'
_cell_length_a 3.618
_cell_length_b 3.618
_cell_length_c 4.925
_cell_angle_alpha 90.00
_cell_angle_beta 90.00
_cell_angle_gamma 90.00
loop_
_atom_site_label
_atom_site_type_symbol
_atom_site_fract_x
_atom_site_fract_y
_atom_site_fract_z
Cr1 Cr 0.000 0.000 0.000
Co1 Co 0.500 0.500 0.500
P1 P 0.500 0.500 0.000
O1 O 0.000 0.500 0.500
# - Distance to the lowest polymorph of the same formula: 224 meV per atom
# - Spin magnetization: 1.2 μB per formula unit
# - Crystal system: tetragonal
# - Final energy: -5.677 eV per atom